Record 1
VASP calculation (PBE-GGA) on a relaxed structure of SrCd2Ni.

Output
Crystal system: monoclinic
Size of the total moment in μB/atom: 0.000
Calculated formation energy in kcal/mol of atoms: -0.6
VASP energy in eV/f.u.: -9.4
N(E_F) in states/eV per atom: 0.52

Structure (CIF):
```
data_SrCd2Ni
_symmetry_space_group_name_H-M 'P 1'
_symmetry_Int_Tables_number 1
_cell_length_a 6.1418
_cell_length_b 6.1418
_cell_length_c 5.1549
_cell_angle_alpha 114.58
_cell_angle_beta 114.58
_cell_angle_gamma 32.35
loop_
_symmetry_equiv_pos_as_xyz
'x,y,z'
loop_
_atom_site_label
_atom_site_type_symbol
_atom_site_fract_x
_atom_site_fract_y
_atom_site_fract_z
Sr1 Sr 0.0000 0.0000 0.0000
Cd1 Cd 0.1999 0.1999 0.6989
Cd2 Cd 0.8001 0.8001 0.3011
Ni1 Ni 0.5000 0.5000 0.5000
```

***

Record 2
VASP calculation (PBE-GGA) on a relaxed structure of SrCdNi3.

Output
Crystal system: cubic
Size of the total moment in μB/atom: 0.000
Relative energy among the computed polymorphs in eV/atom: 0.856
Calculated formation energy in kcal/mol of atoms: 34.8
VASP energy in eV/f.u.: -12.4
N(E_F) in states/eV per atom: 0.49

Structure (CIF):
```
data_SrCdNi3
_symmetry_space_group_name_H-M 'P 1'
_symmetry_Int_Tables_number 1
_cell_length_a 4.7867
_cell_length_b 4.7867
_cell_length_c 4.7867
_cell_angle_alpha 90.00
_cell_angle_beta 90.00
_cell_angle_gamma 90.00
loop_
_symmetry_equiv_pos_as_xyz
'x,y,z'
loop_
_atom_site_label
_atom_site_type_symbol
_atom_site_fract_x
_atom_site_fract_y
_atom_site_fract_z
Sr1 Sr 0.0000 0.0000 0.0000
Cd1 Cd 0.5000 0.5000 0.5000
Ni1 Ni 0.0000 0.0000 0.5000
Ni2 Ni 0.0000 0.5000 0.0000
Ni3 Ni 0.5000 0.0000 0.0000
```

***

Record 3
VASP calculation (PBE-GGA) on a relaxed structure of Sr2CdNi.

Output
Crystal system: tetragonal
Size of the total moment in μB/atom: 0.000
Calculated formation energy in kcal/mol of atoms: 3.3
VASP energy in eV/f.u.: -9.5
N(E_F) in states/eV per atom: 0.77

Structure (CIF):
```
data_Sr2CdNi
_symmetry_space_group_name_H-M 'P 1'
_symmetry_Int_Tables_number 1
_cell_length_a 6.2475
_cell_length_b 6.2475
_cell_length_c 6.2475
_cell_angle_alpha 136.19
_cell_angle_beta 136.19
_cell_angle_gamma 63.69
loop_
_symmetry_equiv_pos_as_xyz
'x,y,z'
loop_
_atom_site_label
_atom_site_type_symbol
_atom_site_fract_x
_atom_site_fract_y
_atom_site_fract_z
Sr1 Sr 0.0000 0.0000 0.0000
Sr2 Sr 0.7500 0.2500 0.5000
Cd1 Cd 0.2500 0.7500 0.5000
Ni1 Ni 0.5000 0.5000 0.0000
```

***

Record 4
VASP calculation (PBE-GGA) on a relaxed structure of Sr6CdNi2.

Output
Crystal system: orthorhombic
Size of the total moment in μB/atom: 0.000
Calculated formation energy in kcal/mol of atoms: -1.7
VASP energy in eV/f.u.: -23.2
N(E_F) in states/eV per atom: 0.82

Structure (CIF):
```
data_Sr6CdNi2
_symmetry_space_group_name_H-M 'P 1'
_symmetry_Int_Tables_number 1
_cell_length_a 9.4308
_cell_length_b 9.4308
_cell_length_c 9.4308
_cell_angle_alpha 112.34
_cell_angle_beta 109.77
_cell_angle_gamma 106.36
loop_
_symmetry_equiv_pos_as_xyz
'x,y,z'
loop_
_atom_site_label
_atom_site_type_symbol
_atom_site_fract_x
_atom_site_fract_y
_atom_site_fract_z
Sr1 Sr 0.0157 0.2213 0.7944
Sr2 Sr 0.1803 0.2975 0.4778
Sr3 Sr 0.1803 0.7025 0.8829
Sr4 Sr 0.3229 0.0147 0.6918
Sr5 Sr 0.3229 0.6311 0.3082
Sr6 Sr 0.4269 0.2213 0.2056
Sr7 Sr 0.5731 0.7787 0.7944
Sr8 Sr 0.6771 0.3689 0.6918
Sr9 Sr 0.6771 0.9853 0.3082
Sr10 Sr 0.8197 0.2975 0.1171
Sr11 Sr 0.8197 0.7025 0.5222
Sr12 Sr 0.9843 0.7787 0.2056
Cd1 Cd 0.0000 0.0000 0.0000
Cd2 Cd 0.5000 0.5000 0.0000
Ni1 Ni 0.1042 0.6042 0.5000
Ni2 Ni 0.3906 0.0000 0.3906
Ni3 Ni 0.6094 0.0000 0.6094
Ni4 Ni 0.8958 0.3958 0.5000
```

***

Record 5
VASP calculation (PBE-GGA) on a relaxed structure of SrCd2Ni.

Output
Crystal system: tetragonal
Size of the total moment in μB/atom: 0.000
Calculated formation energy in kcal/mol of atoms: 1.1
VASP energy in eV/f.u.: -9.1
N(E_F) in states/eV per atom: 0.67

Structure (CIF):
```
data_SrCd2Ni
_symmetry_space_group_name_H-M 'P 1'
_symmetry_Int_Tables_number 1
_cell_length_a 5.0691
_cell_length_b 5.0691
_cell_length_c 5.0691
_cell_angle_alpha 119.68
_cell_angle_beta 119.68
_cell_angle_gamma 90.55
loop_
_symmetry_equiv_pos_as_xyz
'x,y,z'
loop_
_atom_site_label
_atom_site_type_symbol
_atom_site_fract_x
_atom_site_fract_y
_atom_site_fract_z
Sr1 Sr 0.0000 0.0000 0.0000
Cd1 Cd 0.2500 0.7500 0.5000
Cd2 Cd 0.5000 0.5000 0.0000
Ni1 Ni 0.7500 0.2500 0.5000
```

***

Record 6
VASP calculation (PBE-GGA) on a relaxed structure of SrCd2Ni.

Output
Crystal system: cubic
Size of the total moment in μB/atom: 0.000
Calculated formation energy in kcal/mol of atoms: 2.3
VASP energy in eV/f.u.: -8.9
N(E_F) in states/eV per atom: 0.93

Structure (CIF):
```
data_SrCd2Ni
_symmetry_space_group_name_H-M 'P 1'
_symmetry_Int_Tables_number 1
_cell_length_a 5.0898
_cell_length_b 5.0898
_cell_length_c 5.0898
_cell_angle_alpha 60.00
_cell_angle_beta 60.00
_cell_angle_gamma 60.00
loop_
_symmetry_equiv_pos_as_xyz
'x,y,z'
loop_
_atom_site_label
_atom_site_type_symbol
_atom_site_fract_x
_atom_site_fract_y
_atom_site_fract_z
Sr1 Sr 0.0000 0.0000 0.0000
Cd1 Cd 0.2500 0.2500 0.2500
Cd2 Cd 0.7500 0.7500 0.7500
Ni1 Ni 0.5000 0.5000 0.5000
```